1.
A plane-wave DFT calculation with PBE was carried out for a relaxed TaAlGa2 crystal.

For the total magnetization, the calculation gives 0.00 μB/f.u. As for the calculated formation energy: 60 kJ/mol of formula units. The value obtained for the density of states at the Fermi level is 0.54 states/eV/atom. The energy is -5.26 eV/atom. For the volume, the calculation gives 18.4 A^3/atom.

The structure belongs to space group R3m (No. 160, hexagonal axes); the cell edges are 3.9629, 3.9629 and 16.2048 Å and the angles 90.00°, 90.00° and 120.00°. The asymmetric unit holds Ta at (0.0000, 0.0000, 0.0000), Al at (0.0000, 0.0000, 0.8208), Ga at (0.0000, 0.0000, 0.4162) and Ga at (0.0000, 0.0000, 0.5782).

---

2.
A plane-wave DFT calculation with PBE was carried out for a relaxed Al2HgRh crystal.

For the total magnetization, the calculation gives 0.00 μB/f.u. As for the calculated formation energy: -56 kJ/mol of formula units. The value obtained for the density of states at the Fermi level is 0.22 states/eV/atom. The energy is -3.93 eV/atom. For the volume, the calculation gives 17.2 A^3/atom.

The structure belongs to space group R3m (No. 160, hexagonal axes); the cell edges are 3.0073, 3.0073 and 26.3986 Å and the angles 90.00°, 90.00° and 120.00°. The asymmetric unit holds Al at (0.0000, 0.0000, 0.0000), Al at (0.0000, 0.0000, 0.2486), Hg at (0.0000, 0.0000, 0.7588) and Rh at (0.0000, 0.0000, 0.5151).

---

3.
A plane-wave DFT calculation with PBE was carried out for a relaxed Ce2PuPN2 crystal.

For the total magnetization, the calculation gives 6.86 μB/f.u. The value obtained for the density of states at the Fermi level is 1.63 states/eV/atom. The energy is -9.08 eV/atom. For the volume, the calculation gives 19.1 A^3/atom.

The structure belongs to space group P4/mmm (No. 123); the cell edges are 4.3076, 4.3076 and 6.1757 Å and the angles 90.00°, 90.00° and 90.00°. The asymmetric unit holds Ce at (0.0000, 0.0000, 0.2444), Pu at (0.5000, 0.5000, 0.5000), P at (0.5000, 0.5000, 0.0000) and N at (0.0000, 0.5000, 0.5000).

---

Ρ? In order: 7.9; 8.6; 8.5 g/cm3.